No. 1
A plane-wave DFT calculation with PBE was carried out for a relaxed structure of Hf8In2Sb.

Results
- Magnetic moment: 0.00 μB per cell
- N(E_F): 10.2 states/eV/f.u.
- Formation energy (no corrections): 0.43 eV per formula unit

a b c (Å): 5.3543 7.7787 7.7787
angles (deg): 120.13 102.46 102.46
Sites, in units of the cell vectors:
Hf (0.8410, 0.9025, 0.6814)
Hf (0.8410, 0.6814, 0.9025)
Hf (0.2967, 0.5900, 0.5900)
Hf (0.5000, 0.7810, 0.2190)
Hf (0.5000, 0.2190, 0.7810)
Hf (0.7033, 0.4100, 0.4100)
Hf (0.1590, 0.3186, 0.0975)
Hf (0.1590, 0.0975, 0.3186)
In (0.0000, 0.3049, 0.6951)
In (0.0000, 0.6951, 0.3049)
Sb (0.5000, 0.0000, 0.0000)

No. 2
A plane-wave DFT calculation with PBE was carried out for a relaxed structure of Hf12In3Sb.

Results
- Magnetic moment: 0.00 μB per cell
- N(E_F): 16.3 states/eV/f.u.
- Formation energy (no corrections): -2.13 eV per formula unit

a b c (Å): 5.5868 5.5834 11.1864
angles (deg): 90.00 90.00 90.00
Sites, in units of the cell vectors:
Hf (0.5000, 0.0000, 0.3738)
Hf (0.5000, 0.0000, 0.8758)
Hf (0.7499, 0.5000, 0.0000)
Hf (0.7484, 0.5000, 0.5000)
Hf (0.0000, 0.7497, 0.2507)
Hf (0.0000, 0.7497, 0.7493)
Hf (0.5000, 0.0000, 0.1242)
Hf (0.5000, 0.0000, 0.6262)
Hf (0.2501, 0.5000, 0.0000)
Hf (0.2516, 0.5000, 0.5000)
Hf (0.0000, 0.2503, 0.2507)
Hf (0.0000, 0.2503, 0.7493)
In (0.5000, 0.5000, 0.2507)
In (0.5000, 0.5000, 0.7493)
In (0.0000, 0.0000, 0.0000)
Sb (0.0000, 0.0000, 0.5000)

No. 3
A plane-wave DFT calculation with PBE was carried out for a relaxed structure of HfInSb2.

Results
- Magnetic moment: 0.00 μB per cell
- N(E_F): 3.1 states/eV/f.u.
- Formation energy (no corrections): 0.43 eV per formula unit

a b c (Å): 6.6923 6.6923 8.0900
angles (deg): 65.57 65.57 90.00
Sites, in units of the cell vectors:
Sb (0.6436, 0.1250, 0.2500)
Sb (0.1064, 0.6250, 0.2500)
Sb (0.3750, 0.3564, 0.7500)
Sb (0.8750, 0.8936, 0.7500)
Hf (0.0000, 0.0000, 0.0000)
Hf (0.7500, 0.2500, 0.5000)
In (0.5000, 0.5000, 0.0000)
In (0.2500, 0.7500, 0.5000)

No. 4
A plane-wave DFT calculation with PBE was carried out for a relaxed structure of HfInSb2.

Results
- Magnetic moment: 0.00 μB per cell
- N(E_F): 2.4 states/eV/f.u.
- Formation energy (no corrections): -0.70 eV per formula unit

a b c (Å): 4.0560 4.0560 8.1518
angles (deg): 75.59 75.59 60.00
Sites, in units of the cell vectors:
Sb (0.2585, 0.2585, 0.2245)
Sb (0.7415, 0.7415, 0.7755)
Hf (0.0000, 0.0000, 0.0000)
In (0.5000, 0.5000, 0.5000)

Q: Which value of formation energy (no corrections) does entry 2 give?
A: -2.13 eV per formula unit

Q: Which of these has the lowest N(E_F)?
A: number 4